The following is a PBE calculation of Na7CaPb5 after structural relaxation, from Alexandria via LeMat-Bulk.

**SG**: No. 44
**ΔE_f**: -161 kJ/mol of formula units
**Total magnetic moment**: 0.000 μB/f.u.
**Calculated volume**: 32.63 Å³ per atom

a = 6.894 Å, b = 8.568 Å, c = 8.568 Å
α = 80.94°, β = 66.28°, γ = 66.28°
Sites, in units of the cell vectors:
1 Pb 0.456 0.028 0.532
2 Pb 0.984 0.028 0.532
3 Pb 0.724 0.776 0.776
4 Pb 0.984 0.532 0.028
5 Pb 0.456 0.532 0.028
6 Na 0.437 0.563 0.563
7 Na 0.476 0.851 0.196
8 Na 0.476 0.196 0.851
9 Na 0.210 0.290 0.290
10 Na 0.960 0.730 0.350
11 Na 0.960 0.350 0.730
12 Na 0.764 0.236 0.236
13 Ca 0.114 0.886 0.886